VASP calculation (PBE+U) on crystalline CuNiPO2 at its relaxed geometry.

Cell lengths 3.640, 3.640, 4.916 Å; angles 90.00, 90.00, 90.00 degrees
Fractional coordinates of all 5 atoms:
1 Cu 0.000 0.000 0.000
2 Ni 0.500 0.500 0.500
3 P 0.000 0.000 0.500
4 O 0.000 0.500 0.000
5 O 0.500 0.000 0.000

Density of states at the Fermi level: 3.37 states/eV/cell
Distance to the lowest polymorph of the same formula: 87 meV per atom
Space group: P4/mmm
Total energy: -19.9 eV per formula unit